Here is ZrSb2TePt after structural relaxation from Alexandria via LeMat-Bulk. Energies are from PBE. Values from VASP.

```
&SYSTEM
  ibrav = 0, nat = 5, ntyp = 4
/
ATOMIC_SPECIES
Sb 121.76 Sb.upf
Te 127.60 Te.upf
Zr 91.22 Zr.upf
Pt 195.08 Pt.upf
ATOMIC_POSITIONS crystal
Sb 0.0000 0.5000 0.0000
Sb 0.5000 0.0000 0.0000
Te 0.0000 0.0000 0.5000
Zr 0.5000 0.5000 0.5000
Pt 0.0000 0.0000 0.0000
CELL_PARAMETERS angstrom
5.1643 0.0000 0.0000
0.0000 5.1643 0.0000
0.0000 0.0000 5.3444
```

Summary:
Energy above the most stable polymorph in this dataset = 0 meV per atom
Formation energy without anion corrections = 403.7 meV/atom
ρ = 7.66 g/cm3
E_tot = -4.791 eV per atom
Magnetization = 0.000 μB/f.u.

---

Here is BaY2CdRu after structural relaxation from Alexandria via LeMat-Bulk. Energies are from PBE. Values from VASP.

```
&SYSTEM
  ibrav = 0, nat = 5, ntyp = 4
/
ATOMIC_SPECIES
Y 88.91 Y.upf
Ru 101.07 Ru.upf
Ba 137.33 Ba.upf
Cd 112.41 Cd.upf
ATOMIC_POSITIONS crystal
Y 0.0000 0.5000 0.0000
Y 0.5000 0.0000 0.0000
Ru 0.0000 0.0000 0.0000
Ba 0.5000 0.5000 0.5000
Cd 0.0000 0.0000 0.5000
CELL_PARAMETERS angstrom
-2.7222 -4.0362 2.1584
4.4177 -2.9740 0.0103
1.2590 1.8879 5.1184
```

Summary:
Formation energy = -119 meV per atom
ρ = 5.53 g/cm3
E_tot = -5.128 eV per atom
Magnetization = 0.000 μB/f.u.

---

Here is Zr2GaBi2 after structural relaxation from Alexandria via LeMat-Bulk. Energies are from PBE. Values from VASP.

```
&SYSTEM
  ibrav = 0, nat = 10, ntyp = 3
/
ATOMIC_SPECIES
Ga 69.72 Ga.upf
Bi 208.98 Bi.upf
Zr 91.22 Zr.upf
ATOMIC_POSITIONS crystal
Ga 0.0000 0.0000 0.0000
Ga 0.5000 0.5000 0.0000
Bi 0.3469 0.8469 0.0000
Bi 0.8469 0.6531 0.0000
Bi 0.6531 0.1531 0.0000
Bi 0.1531 0.3469 0.0000
Zr 0.1387 0.6387 0.5000
Zr 0.6387 0.8613 0.5000
Zr 0.8613 0.3613 0.5000
Zr 0.3613 0.1387 0.5000
CELL_PARAMETERS angstrom
8.1717 0.0000 0.0000
0.0000 8.1717 0.0000
0.0000 0.0000 3.8683
```

Summary:
Energy above the most stable polymorph in this dataset = 215 meV per atom
Formation energy = -41 meV per atom
ρ = 8.62 g/cm3
E_tot = -5.618 eV per atom
Magnetization = 0.000 μB/f.u.

---

Here is NaSc3F after structural relaxation from Alexandria via LeMat-Bulk. Energies are from PBE. Values from VASP.

```
&SYSTEM
  ibrav = 0, nat = 5, ntyp = 3
/
ATOMIC_SPECIES
Sc 44.96 Sc.upf
Na 22.99 Na.upf
F 19.00 F.upf
ATOMIC_POSITIONS crystal
Sc 0.0000 0.5000 0.0000
Sc 0.0000 0.0000 0.5000
Sc 0.5000 0.0000 0.0000
Na 0.5000 0.5000 0.5000
F 0.0000 0.0000 0.0000
CELL_PARAMETERS angstrom
4.7150 0.0000 0.0000
0.0000 4.7150 0.0000
0.0000 0.0000 4.7150
```

Summary:
Energy above the most stable polymorph in this dataset = 0 meV per atom
Formation energy without anion corrections = -519.7 meV/atom
ρ = 2.80 g/cm3
E_tot = -4.957 eV per atom
Magnetization = 0.000 μB/f.u.

---

Here is MnAlAu after structural relaxation from Alexandria via LeMat-Bulk. Energies are from PBE. Values from VASP.

```
&SYSTEM
  ibrav = 0, nat = 3, ntyp = 3
/
ATOMIC_SPECIES
Mn 54.94 Mn.upf
Au 196.97 Au.upf
Al 26.98 Al.upf
ATOMIC_POSITIONS crystal
Mn 0.3333 0.6667 0.6668
Au 0.6667 0.3333 0.1668
Al 0.0000 0.0000 0.1664
CELL_PARAMETERS angstrom
4.3756 0.0000 0.0000
-2.1878 3.7894 0.0000
0.0000 0.0000 2.9051
```

Summary:
Formation energy = -167 meV per atom
ρ = 9.61 g/cm3
E_tot = -5.563 eV per atom
Magnetization = 3.442 μB/f.u.

---

Here is ThZn5Co2 after structural relaxation from Alexandria via LeMat-Bulk. Energies are from PBE. Values from VASP.

```
&SYSTEM
  ibrav = 0, nat = 8, ntyp = 3
/
ATOMIC_SPECIES
Th 232.04 Th.upf
Zn 65.41 Zn.upf
Co 58.93 Co.upf
ATOMIC_POSITIONS crystal
Th 0.0000 0.0000 0.0000
Zn 0.0000 0.5000 0.5000
Zn 0.6580 0.5234 0.1606
Zn 0.3420 0.4766 0.8394
Zn 0.3420 0.8394 0.4766
Zn 0.6580 0.1606 0.5234
Co 0.7217 0.7783 0.7783
Co 0.2783 0.2217 0.2217
CELL_PARAMETERS angstrom
-2.6191 0.4186 2.6780
-0.2608 -5.2384 3.2161
2.8880 1.3093 5.2723
```

Summary:
Formation energy = -193 meV per atom
ρ = 8.82 g/cm3
E_tot = -3.693 eV per atom
Magnetization = 0.000 μB/f.u.

---

Here is LiCd5Hg5 after structural relaxation from Alexandria via LeMat-Bulk. Energies are from PBE. Values from VASP.

```
&SYSTEM
  ibrav = 0, nat = 11, ntyp = 3
/
ATOMIC_SPECIES
Li 6.94 Li.upf
Cd 112.41 Cd.upf
Hg 200.59 Hg.upf
ATOMIC_POSITIONS crystal
Li 0.0000 0.0000 0.0000
Cd 0.6666 0.3331 0.3668
Cd 0.5804 0.1607 0.6882
Cd 0.0000 0.0000 0.5000
Cd 0.4196 0.8393 0.3118
Cd 0.3334 0.6669 0.6332
Hg 0.8194 0.6388 0.1345
Hg 0.8182 0.6364 0.7354
Hg 0.5000 0.0000 0.0000
Hg 0.1818 0.3636 0.2646
Hg 0.1806 0.3612 0.8655
CELL_PARAMETERS angstrom
-0.7757 5.5464 0.0452
-0.3332 -2.9273 6.5167
7.5718 1.0685 -1.1718
```

Summary:
Formation energy = -11 meV per atom
ρ = 9.48 g/cm3
E_tot = -0.738 eV per atom
Magnetization = 0.000 μB/f.u.